(1)
{
  "formula": "PmPdRh2",
  "functional": "PBE-GGA",
  "state": "optimized geometry",
  "spacegroup": "No. 123",
  "formation_enthalpy_0k_mev_per_atom": -460,
  "e_tot_ev_per_cell": -26.48,
  "m_tot_mub_per_fu": 0.0,
  "dos_ef_per_ev_fu": 4.4,
  "de_polymorph_ev_per_atom": 0.0000,
  "cell": [[-1.028, -3.765, 1.226], [3.969, -1.173, -0.273], [0.603, 1.121, 3.948]],
  "species": ["Rh", "Rh", "Pd", "Pm"],
  "fractional_positions": [[0.000, 0.000, 0.500], [0.000, 0.500, 0.000], [0.500, 0.000, 0.000], [0.500, 0.500, 0.500]]
}


(2)
{
  "formula": "Sr3Au",
  "functional": "PBE-GGA",
  "state": "optimized geometry",
  "spacegroup": "No. 221",
  "formation_enthalpy_0k_mev_per_atom": -250,
  "e_tot_ev_per_cell": -9.32,
  "m_tot_mub_per_fu": 0.0,
  "dos_ef_per_ev_fu": 3.3,
  "cell": [[-6.071, -0.669, 1.011], [0.874, -5.994, 1.281], [0.841, 1.399, 5.972]],
  "species": ["Au", "Sr", "Sr", "Sr"],
  "fractional_positions": [[0.000, 0.000, 0.000], [0.500, 0.000, 0.000], [0.000, 0.500, 0.000], [0.000, 0.000, 0.500]]
}


(3)
{
  "formula": "SiMoPtN2",
  "functional": "PBE-GGA",
  "state": "optimized geometry",
  "spacegroup": "No. 123",
  "e_tot_ev_per_cell": -31.75,
  "m_tot_mub_per_fu": 1.2,
  "dos_ef_per_ev_fu": 3.3,
  "formation_energy_uncorrected_ev_per_atom": 1.440,
  "cell": [[-1.854, -3.062, -0.904], [-0.660, -0.655, 3.573], [-5.016, 3.142, -0.350]],
  "species": ["Mo", "Si", "Pt", "N", "N"],
  "fractional_positions": [[0.000, 0.000, 0.500], [0.500, 0.500, 0.500], [0.000, 0.000, 0.000], [0.000, 0.500, 0.000], [0.500, 0.000, 0.000]]
}


(4)
{
  "formula": "TlGa2Br",
  "functional": "PBE-GGA",
  "state": "optimized geometry",
  "spacegroup": "No. 122",
  "e_tot_ev_per_cell": -19.80,
  "m_tot_mub_per_fu": 0.0,
  "dos_ef_per_ev_fu": 0.1,
  "formation_energy_uncorrected_ev_per_atom": 0.048,
  "de_polymorph_ev_per_atom": 0.0000,
  "cell": [[-3.606, 4.977, -1.732], [-5.209, -3.684, 0.259], [-5.263, 2.318, 5.848]],
  "species": ["Tl", "Tl", "Ga", "Ga", "Ga", "Ga", "Br", "Br"],
  "fractional_positions": [[0.000, 0.000, 0.000], [0.750, 0.250, 0.500], [0.647, 0.125, 0.250], [0.103, 0.625, 0.250], [0.375, 0.353, 0.750], [0.875, 0.897, 0.750], [0.500, 0.500, 0.000], [0.250, 0.750, 0.500]]
}


(5)
{
  "formula": "PrY3Th2Sb6",
  "functional": "PBE-GGA",
  "state": "optimized geometry",
  "spacegroup": "No. 12",
  "e_tot_ev_per_cell": -76.87,
  "m_tot_mub_per_fu": 0.0,
  "dos_ef_per_ev_fu": 4.6,
  "formation_energy_uncorrected_ev_per_atom": -1.093,
  "cell": [[-1.403, 4.241, 0.100], [-6.655, -2.070, -5.527], [-3.198, -3.618, 8.705]],
  "species": ["Pr", "Y", "Y", "Y", "Th", "Th", "Sb", "Sb", "Sb", "Sb", "Sb", "Sb"],
  "fractional_positions": [[0.500, 0.000, 0.000], [0.500, 0.500, 0.000], [0.834, 0.166, 0.669], [0.166, 0.834, 0.331], [0.834, 0.669, 0.669], [0.166, 0.331, 0.331], [0.331, 0.920, 0.661], [0.665, 0.587, 0.331], [0.669, 0.080, 0.339], [0.999, 0.257, 0.997], [0.001, 0.743, 0.003], [0.335, 0.413, 0.669]]
}


(6)
{
  "formula": "CrCuSb2",
  "functional": "PBE-GGA",
  "state": "optimized geometry",
  "spacegroup": "No. 38",
  "e_tot_ev_per_cell": -21.40,
  "m_tot_mub_per_fu": 2.9,
  "dos_ef_per_ev_fu": 2.6,
  "formation_energy_uncorrected_ev_per_atom": 0.141,
  "de_polymorph_ev_per_atom": 0.0000,
  "cell": [[-1.502, -4.790, -2.035], [0.076, -5.256, 1.308], [-3.609, 0.387, 1.758]],
  "species": ["Cr", "Cu", "Sb", "Sb"],
  "fractional_positions": [[0.457, 0.457, 0.625], [0.287, 0.287, 0.125], [0.019, 0.019, 0.125], [0.738, 0.738, 0.625]]
}


(7)
{
  "formula": "HfBi2Pt",
  "functional": "PBE-GGA",
  "state": "optimized geometry",
  "spacegroup": "No. 122",
  "formation_enthalpy_0k_mev_per_atom": 96,
  "e_tot_ev_per_cell": -46.74,
  "m_tot_mub_per_fu": 0.0,
  "dos_ef_per_ev_fu": 2.0,
  "de_polymorph_ev_per_atom": 0.0000,
  "cell": [[4.427, 0.000, 0.000], [0.000, 4.427, 0.000], [2.214, 2.214, 10.266]],
  "species": ["Hf", "Hf", "Bi", "Bi", "Bi", "Bi", "Pt", "Pt"],
  "fractional_positions": [[0.500, 0.500, 0.000], [0.250, 0.750, 0.500], [0.633, 0.125, 0.250], [0.117, 0.625, 0.250], [0.375, 0.367, 0.750], [0.875, 0.883, 0.750], [0.000, 0.000, 0.000], [0.750, 0.250, 0.500]]
}


(8)
{
  "formula": "La3ZnGe2",
  "functional": "PBE-GGA",
  "state": "optimized geometry",
  "spacegroup": "No. 62",
  "formation_enthalpy_0k_mev_per_atom": -685,
  "e_tot_ev_per_cell": -117.60,
  "m_tot_mub_per_fu": 0.8,
  "dos_ef_per_ev_fu": 4.8,
  "cell": [[-2.172, -2.541, 2.834], [-3.485, -7.144, -9.077], [10.099, -6.900, 1.553]],
  "species": ["La", "La", "La", "La", "La", "La", "La", "La", "La", "La", "La", "La", "Zn", "Zn", "Zn", "Zn", "Ge", "Ge", "Ge", "Ge", "Ge", "Ge", "Ge", "Ge"],
  "fractional_positions": [[0.250, 0.384, 0.059], [0.750, 0.616, 0.941], [0.750, 0.884, 0.441], [0.250, 0.116, 0.559], [0.250, 0.703, 0.199], [0.750, 0.297, 0.801], [0.750, 0.203, 0.301], [0.250, 0.797, 0.699], [0.250, 0.436, 0.377], [0.750, 0.564, 0.623], [0.750, 0.936, 0.123], [0.250, 0.064, 0.877], [0.250, 0.141, 0.138], [0.750, 0.859, 0.862], [0.750, 0.641, 0.362], [0.250, 0.359, 0.638], [0.250, 0.683, 0.471], [0.750, 0.317, 0.529], [0.750, 0.183, 0.029], [0.250, 0.817, 0.971], [0.250, 0.006, 0.304], [0.750, 0.994, 0.696], [0.750, 0.506, 0.196], [0.250, 0.494, 0.804]]
}


(9)
{
  "formula": "Tb4Ho15Th",
  "functional": "PBE-GGA",
  "state": "optimized geometry",
  "spacegroup": "No. 123",
  "formation_enthalpy_0k_mev_per_atom": 23,
  "e_tot_ev_per_cell": -94.15,
  "m_tot_mub_per_fu": 0.0,
  "dos_ef_per_ev_fu": 26.9,
  "cell": [[5.009, 0.000, 0.000], [0.000, 5.009, 0.000], [0.000, 0.000, 24.921]],
  "species": ["Tb", "Tb", "Tb", "Tb", "Ho", "Ho", "Ho", "Ho", "Ho", "Ho", "Ho", "Ho", "Ho", "Ho", "Ho", "Ho", "Ho", "Ho", "Ho", "Th"],
  "fractional_positions": [[0.000, 0.000, 0.200], [0.000, 0.000, 0.400], [0.000, 0.000, 0.600], [0.000, 0.000, 0.800], [0.500, 0.500, 0.000], [0.500, 0.500, 0.201], [0.500, 0.500, 0.400], [0.500, 0.500, 0.600], [0.500, 0.500, 0.799], [0.500, 0.000, 0.099], [0.500, 0.000, 0.300], [0.500, 0.000, 0.500], [0.500, 0.000, 0.700], [0.500, 0.000, 0.901], [0.000, 0.500, 0.099], [0.000, 0.500, 0.300], [0.000, 0.500, 0.500], [0.000, 0.500, 0.700], [0.000, 0.500, 0.901], [0.000, 0.000, 0.000]]
}


(10)
{
  "formula": "Er8Sn5Hg",
  "functional": "PBE-GGA",
  "state": "optimized geometry",
  "spacegroup": "No. 82",
  "formation_enthalpy_0k_mev_per_atom": -626,
  "e_tot_ev_per_cell": -65.58,
  "m_tot_mub_per_fu": 0.0,
  "dos_ef_per_ev_fu": 9.0,
  "cell": [[7.527, 0.000, -2.587], [-3.756, 6.483, -2.686], [-0.015, 0.000, 7.959]],
  "species": ["Er", "Er", "Er", "Er", "Er", "Er", "Er", "Er", "Sn", "Sn", "Sn", "Sn", "Sn", "Hg"],
  "fractional_positions": [[0.129, 0.751, 0.020], [0.980, 0.109, 0.731], [0.765, 0.246, 0.370], [0.630, 0.395, 0.876], [0.482, 0.605, 0.235], [0.622, 0.891, 0.871], [0.269, 0.249, 0.378], [0.124, 0.754, 0.518], [0.002, 0.376, 0.127], [0.873, 0.875, 0.248], [0.752, 0.624, 0.627], [0.500, 0.000, 0.500], [0.373, 0.125, 0.998], [0.250, 0.500, 0.750]]
}


(11)
{
  "formula": "CaGa2O",
  "functional": "PBE-GGA",
  "state": "optimized geometry",
  "spacegroup": "No. 122",
  "e_tot_ev_per_cell": -32.34,
  "m_tot_mub_per_fu": 0.0,
  "dos_ef_per_ev_fu": 0.2,
  "formation_energy_uncorrected_ev_per_atom": -0.789,
  "cell": [[8.349, 0.000, 0.000], [0.000, 8.349, 0.000], [4.174, 4.174, 2.261]],
  "species": ["Ca", "Ca", "O", "O", "Ga", "Ga", "Ga", "Ga"],
  "fractional_positions": [[0.000, 0.000, 0.000], [0.750, 0.250, 0.500], [0.500, 0.500, 0.000], [0.250, 0.750, 0.500], [0.540, 0.125, 0.250], [0.210, 0.625, 0.250], [0.375, 0.460, 0.750], [0.875, 0.790, 0.750]]
}


(12)
{
  "formula": "Ta2GaBr",
  "functional": "PBE-GGA",
  "state": "optimized geometry",
  "spacegroup": "No. 122",
  "e_tot_ev_per_cell": -51.78,
  "m_tot_mub_per_fu": 0.0,
  "dos_ef_per_ev_fu": 2.8,
  "formation_energy_uncorrected_ev_per_atom": 0.629,
  "de_polymorph_ev_per_atom": 0.1704,
  "cell": [[-1.554, -2.986, 2.265], [1.186, -2.718, -2.769], [8.267, -3.800, 4.298]],
  "species": ["Ga", "Ga", "Br", "Br", "Ta", "Ta", "Ta", "Ta"],
  "fractional_positions": [[0.500, 0.500, 0.000], [0.250, 0.750, 0.500], [0.000, 0.000, 0.000], [0.750, 0.250, 0.500], [0.614, 0.125, 0.250], [0.136, 0.625, 0.250], [0.375, 0.386, 0.750], [0.875, 0.864, 0.750]]
}